Compound: KReBr
Source: Alexandria via LeMat-Bulk
Functional: SCAN
Structure: single point on PBEsol structure

- crystal system = trigonal
- DFT total energy (eV/atom) = -31.904
- SG = No. 156
- density of states at the Fermi level (states/eV per atom) = 0.4197
- uncorrected formation energy (meV per atom) = 1058

a b c (Å): 3.0694 3.0694 7.5201
angles (deg): 90.00 90.00 120.00
With the nearest neighbours (Å) after each atom.
Sites, in units of the cell vectors:
1 Br 0.0000 0.0000 0.0376  3 Re 2.62
2 K 0.3333 0.6667 0.6675  6 K 3.07, 3 Br 3.30, 3 Re 3.32
3 Re 0.6667 0.3333 0.2949  3 Br 2.62



Compound: KRe2Br
Source: Alexandria via LeMat-Bulk
Functional: SCAN
Structure: single point on PBEsol structure

- crystal system = orthorhombic
- distance to the lowest polymorph of the same formula (meV per atom) = 380
- DFT total energy (eV/atom) = -41.016
- SG = No. 65
- density of states at the Fermi level (states/eV per atom) = 1.2301
- uncorrected formation energy (meV per atom) = 1480

a b c (Å): 2.5622 5.2381 7.2626
angles (deg): 111.14 90.00 90.00
With the nearest neighbours (Å) after each atom.
Sites, in units of the cell vectors:
1 Br 0.5000 0.0000 0.0000  2 Br 2.56, 2 K 2.62
2 K 0.5000 0.5000 0.0000  2 K 2.56, 2 Br 2.62
3 Re 0.0000 0.0000 0.5000  4 Re 2.56-2.62
4 Re 0.0000 0.5000 0.5000  4 Re 2.56-2.62



Compound: KRe2Br
Source: Alexandria via LeMat-Bulk
Functional: SCAN
Structure: single point on PBEsol structure

- crystal system = cubic
- distance to the lowest polymorph of the same formula (meV per atom) = 1794
- DFT total energy (eV/atom) = -39.602
- SG = No. 225
- density of states at the Fermi level (states/eV per atom) = 1.2008
- uncorrected formation energy (meV per atom) = 2894

a b c (Å): 4.5965 4.5965 4.5965
angles (deg): 60.00 60.00 60.00
With the nearest neighbours (Å) after each atom.
Sites, in units of the cell vectors:
1 Re 0.2500 0.2500 0.2500  4 Br 2.81, 4 K 2.81
2 Re 0.7500 0.7500 0.7500  4 Br 2.81, 4 K 2.81
3 K 0.0000 0.0000 0.0000  8 Re 2.81
4 Br 0.5000 0.5000 0.5000  8 Re 2.81



Compound: KRe2Br
Source: Alexandria via LeMat-Bulk
Functional: SCAN
Structure: single point on PBEsol structure

- crystal system = orthorhombic
- distance to the lowest polymorph of the same formula (meV per atom) = 0
- DFT total energy (eV/atom) = -41.396
- SG = No. 47
- density of states at the Fermi level (states/eV per atom) = 0.7400
- uncorrected formation energy (meV per atom) = 1100

a b c (Å): 2.6647 4.7942 7.0401
angles (deg): 90.00 90.00 90.00
With the nearest neighbours (Å) after each atom.
Sites, in units of the cell vectors:
1 Br 0.5000 0.0000 0.5000  2 Br 2.66, 4 K 2.74
2 K 0.0000 0.5000 0.5000  2 K 2.66, 4 Br 2.74
3 Re 0.0000 0.0000 0.0000  6 Re 2.66-2.74
4 Re 0.5000 0.5000 0.0000  6 Re 2.66-2.74



Compound: KRe2Br
Source: Alexandria via LeMat-Bulk
Functional: SCAN
Structure: single point on PBEsol structure

- crystal system = trigonal
- distance to the lowest polymorph of the same formula (meV per atom) = 482
- DFT total energy (eV/atom) = -40.914
- SG = No. 166
- density of states at the Fermi level (states/eV per atom) = 0.9217
- uncorrected formation energy (meV per atom) = 1582

a b c (Å): 2.8734 2.8734 10.3979
angles (deg): 82.06 82.06 60.00
With the nearest neighbours (Å) after each atom.
Sites, in units of the cell vectors:
1 Br 0.5000 0.5000 0.5000  6 Re 2.72, 6 Br 2.87
2 K 0.0000 0.0000 0.0000  6 K 2.87
3 Re 0.2367 0.2367 0.2899  3 Br 2.72, 6 Re 2.87
4 Re 0.7633 0.7633 0.7101  3 Br 2.72, 6 Re 2.87



Compound: KRh2Br
Source: Alexandria via LeMat-Bulk
Functional: SCAN
Structure: single point on PBEsol structure

- crystal system = monoclinic
- distance to the lowest polymorph of the same formula (meV per atom) = 126
- DFT total energy (eV/atom) = -23.684
- SG = No. 8
- density of states at the Fermi level (states/eV per atom) = 0.4823
- uncorrected formation energy (meV per atom) = 149

a b c (Å): 3.8382 4.5560 6.3370
angles (deg): 110.13 90.00 114.91
With the nearest neighbours (Å) after each atom.
Sites, in units of the cell vectors:
1 Br 0.5475 0.0950 0.6170  4 Rh 2.61-2.62
2 K 0.7328 0.4657 0.2382  4 Br 3.30-3.64, 5 Rh 3.36-3.46
3 Rh 0.9523 0.9047 0.8247  3 Rh 2.45-2.61, 2 Br 2.61
4 Rh 0.2673 0.5346 0.8201  3 Rh 2.45-2.61, 2 Br 2.62